# Zr12Co6Sn, optimized geometry, DFT GGA-PBE
data_Zr12Co6Sn
_chemical_formula_sum 'Zr12 Co6 Sn1'
_cell_length_a 7.824
_cell_length_b 7.824
_cell_length_c 7.824
_cell_angle_alpha 109.47
_cell_angle_beta 109.47
_cell_angle_gamma 109.47
_space_group_name_H-M_alt 'P 1'
_space_group_IT_number 1
loop_
_space_group_symop_operation_xyz
'x,y,z'
loop_
_atom_site_label
_atom_site_type_symbol
_atom_site_fract_x
_atom_site_fract_y
_atom_site_fract_z
_atom_site_occupancy
Co1 Co 0.500 0.865 0.365 1
Co2 Co 0.635 0.500 0.135 1
Co3 Co 0.365 0.500 0.865 1
Co4 Co 0.135 0.635 0.500 1
Co5 Co 0.865 0.365 0.500 1
Co6 Co 0.500 0.135 0.635 1
Zr1 Zr 0.187 0.300 0.488 1
Zr2 Zr 0.887 0.187 0.700 1
Zr3 Zr 0.187 0.700 0.887 1
Zr4 Zr 0.512 0.813 0.700 1
Zr5 Zr 0.488 0.187 0.300 1
Zr6 Zr 0.700 0.887 0.187 1
Zr7 Zr 0.113 0.813 0.300 1
Zr8 Zr 0.300 0.113 0.813 1
Zr9 Zr 0.813 0.700 0.512 1
Zr10 Zr 0.700 0.512 0.813 1
Zr11 Zr 0.300 0.488 0.187 1
Zr12 Zr 0.813 0.300 0.113 1
Sn1 Sn 0.000 0.000 0.000 1
# - VASP energy (eV/atom) = -8.1044
# - ΔE_f (eV/f.u.) = -4.8